No. 1
First-principles (meta-GGA SCAN) data for KPt4Br at its PBEsol-relaxed geometry, as listed in Alexandria.

a = 5.394 Å, b = 5.394 Å, c = 5.394 Å
α = 60.00°, β = 60.00°, γ = 60.00°
Fractional positions:
K  0.000  0.000  0.000
Pt  0.123  0.626  0.626
Pt  0.626  0.123  0.626
Pt  0.626  0.626  0.123
Pt  0.626  0.626  0.626
Br  0.250  0.250  0.250

---

No. 2
First-principles (meta-GGA SCAN) data for KPtBr2 at its PBEsol-relaxed geometry, as listed in Alexandria.

a = 3.544 Å, b = 3.544 Å, c = 7.428 Å
α = 90.00°, β = 90.00°, γ = 90.00°
Fractional positions:
K  0.000  0.000  0.000
Pt  0.000  0.000  0.500
Br  0.500  0.500  0.283
Br  0.500  0.500  0.717

---

Number 1: E_form (uncorrected) 22 kJ per mole of atoms, VASP energy -51.1971 eV/atom. Number 2: E_form (uncorrected) -14 kJ per mole of atoms, VASP energy -29.5031 eV/atom.